{"formula": "TmThTc2", "functional": "PBE-GGA", "state": "optimized geometry", "formation_energy_ev_per_atom": -0.08, "de_polymorph_mev_per_atom": 0, "dft_energy_ev_per_cell": -32.9, "total_magnetization_mub_per_cell": 0.000, "lattice_angstrom": [[0.000, 3.453, 3.453], [3.453, 0.000, 3.453], [3.453, 3.453, 0.000]], "species": ["Tm", "Th", "Tc", "Tc"], "frac_coords": [[0.000, 0.000, 0.000], [0.500, 0.500, 0.500], [0.250, 0.250, 0.250], [0.750, 0.750, 0.750]]}